1.
SmMgIn, relaxed, DFT PBE; space group = P-62m, No. 189; volume = 241 Å³/cell
1.0
-1.888 -8.110 -2.188
-0.819 2.553 8.182
-3.550 1.007 -0.669
In Mg Sm
3 3 3
Direct
0.667 0.333 0.000
0.333 0.667 0.000
0.000 0.000 0.500
0.619 0.000 0.500
0.381 0.381 0.500
0.000 0.619 0.500
0.287 0.000 0.000
0.000 0.287 0.000
0.713 0.713 0.000

2.
ThMg2, relaxed, DFT PBE; space group = P4_2/mnm, No. 136; volume = 263 Å³/cell
1.0
7.369 0.000 0.000
0.000 7.369 0.000
0.000 0.000 4.841
Mg Th
4 2
Direct
0.304 0.304 0.000
0.696 0.696 0.000
0.804 0.196 0.500
0.196 0.804 0.500
0.000 0.000 0.000
0.500 0.500 0.500

3.
RbHg, relaxed, DFT PBE; space group = P-6m2, No. 187; volume = 90 Å³/cell
1.0
4.326 0.000 0.000
-2.163 3.746 0.000
0.000 0.000 5.555
Hg Rb
1 1
Direct
0.667 0.333 0.750
0.333 0.667 0.250

4.
TmCdTe3Pb, relaxed, DFT PBE; space group = Cmcm, No. 63; volume = 367 Å³/cell
1.0
-6.677 -3.911 0.605
6.533 1.165 -4.025
5.169 -7.880 6.107
Cd Pb Te Tm
2 2 6 2
Direct
0.529 0.471 0.250
0.471 0.529 0.750
0.215 0.785 0.250
0.785 0.215 0.750
0.644 0.356 0.041
0.903 0.097 0.250
0.644 0.356 0.459
0.356 0.644 0.541
0.097 0.903 0.750
0.356 0.644 0.959
0.000 0.000 0.000
0.000 0.000 0.500

5.
Ba6Pr3I19, relaxed, DFT PBE; space group = C2/c, No. 15; volume = 2356 Å³/cell
1.0
8.112 -6.352 0.005
8.112 6.352 0.005
-2.012 0.000 22.856
Ba I Pr
12 38 6
Direct
0.413 0.267 0.038
0.086 0.854 0.105
0.581 0.784 0.216
0.216 0.419 0.284
0.146 0.914 0.395
0.733 0.587 0.462
0.267 0.413 0.538
0.854 0.086 0.605
0.784 0.581 0.716
0.419 0.216 0.784
0.914 0.146 0.895
0.587 0.733 0.962
0.302 0.615 0.004
0.074 0.160 0.035
0.417 0.929 0.086
0.799 0.689 0.098
0.756 0.095 0.116
0.161 0.461 0.133
0.556 0.458 0.159
0.070 0.154 0.214
0.477 0.136 0.244
0.245 0.755 0.250
0.864 0.523 0.256
0.846 0.930 0.286
0.542 0.444 0.341
0.539 0.839 0.367
0.905 0.244 0.384
0.311 0.201 0.402
0.071 0.583 0.414
0.840 0.926 0.465
0.385 0.698 0.496
0.615 0.302 0.504
0.160 0.074 0.535
0.929 0.417 0.586
0.689 0.799 0.598
0.095 0.756 0.616
0.461 0.161 0.633
0.458 0.556 0.659
0.154 0.070 0.714
0.136 0.477 0.744
0.755 0.245 0.750
0.523 0.864 0.756
0.930 0.846 0.786
0.444 0.542 0.841
0.839 0.539 0.867
0.244 0.905 0.884
0.201 0.311 0.902
0.583 0.071 0.914
0.926 0.840 0.965
0.698 0.385 0.996
0.874 0.365 0.125
0.754 0.246 0.250
0.635 0.126 0.375
0.365 0.874 0.625
0.246 0.754 0.750
0.126 0.635 0.875

6.
LiNbCoSi, relaxed, DFT PBE; space group = F-43m, No. 216; volume = 50 Å³/cell
1.0
-1.392 0.788 3.822
-3.129 -2.220 1.564
0.704 -2.703 3.059
Co Li Nb Si
1 1 1 1
Direct
0.750 0.750 0.750
0.250 0.250 0.250
0.500 0.500 0.500
0.000 0.000 0.000

7.
SmGd2Ta2N6, relaxed, DFT PBE; space group = I4/mmm, No. 139; volume = 155 Å³/cell
1.0
-2.009 2.009 9.592
2.009 -2.009 9.592
2.009 2.009 -9.592
Gd N Sm Ta
2 6 1 2
Direct
0.179 0.179 0.000
0.821 0.821 0.000
0.297 0.297 0.000
0.703 0.703 0.000
0.585 0.085 0.500
0.915 0.415 0.500
0.085 0.585 0.500
0.415 0.915 0.500
0.000 0.000 0.000
0.398 0.398 0.000
0.602 0.602 0.000

8.
LaTb2Cu4Ge4, relaxed, DFT PBE; space group = Immm, No. 71; volume = 204 Å³/cell
1.0
-2.120 3.407 7.073
2.120 -3.407 7.073
2.120 3.407 -7.073
Cu Ge La Tb
4 4 1 2
Direct
0.643 0.332 0.311
0.980 0.668 0.311
0.020 0.332 0.689
0.357 0.668 0.689
0.219 0.219 0.000
0.781 0.781 0.000
0.684 0.500 0.184
0.316 0.500 0.816
0.000 0.000 0.000
0.631 0.131 0.500
0.369 0.869 0.500

Number 1: total energy -3.19 eV per atom. Number 2: total energy -2.16 eV per atom. Number 3: total energy -0.73 eV per atom. Number 4: total energy -3.73 eV per atom. Number 5: total energy -3.61 eV per atom. Number 6: total energy -6.40 eV per atom. Number 7: total energy -9.34 eV per atom. Number 8: total energy -4.94 eV per atom.